(1)
{
  "formula": "Zn2CuIr",
  "functional": "PBE",
  "state": "optimized geometry",
  "cell": [[0.000, 3.010, 3.010], [3.010, 0.000, 3.010], [3.010, 3.010, 0.000]],
  "species": ["Zn", "Zn", "Cu", "Ir"],
  "fractional_positions": [[0.250, 0.250, 0.250], [0.750, 0.750, 0.750], [0.000, 0.000, 0.000], [0.500, 0.500, 0.500]],
  "energy_ev_per_fu": -16.1,
  "formation_energy_mev_per_atom": -150
}

(2)
{
  "formula": "Zn8Cu3Ir2",
  "functional": "PBE",
  "state": "optimized geometry",
  "cell": [[5.522, -3.606, 0.000], [5.522, 3.606, 0.000], [-0.806, 0.000, 5.011]],
  "species": ["Zn", "Zn", "Zn", "Zn", "Zn", "Zn", "Zn", "Zn", "Cu", "Cu", "Cu", "Ir", "Ir"],
  "fractional_positions": [[0.069, 0.691, 0.075], [0.091, 0.091, 0.379], [0.304, 0.304, 0.684], [0.309, 0.931, 0.925], [0.691, 0.069, 0.075], [0.696, 0.696, 0.316], [0.909, 0.909, 0.621], [0.931, 0.309, 0.925], [0.330, 0.670, 0.500], [0.500, 0.500, 0.000], [0.670, 0.330, 0.500], [0.296, 0.296, 0.190], [0.704, 0.704, 0.810]],
  "energy_ev_per_fu": -40.9,
  "formation_energy_mev_per_atom": -55
}

(3)
{
  "formula": "Zn4Cu5Ir2",
  "functional": "PBE",
  "state": "optimized geometry",
  "cell": [[4.632, -2.483, 0.000], [4.632, 2.483, 0.000], [-0.299, 0.000, 6.651]],
  "species": ["Zn", "Zn", "Zn", "Zn", "Cu", "Cu", "Cu", "Cu", "Cu", "Ir", "Ir"],
  "fractional_positions": [[0.157, 0.157, 0.485], [0.182, 0.182, 0.115], [0.818, 0.818, 0.885], [0.843, 0.843, 0.515], [0.179, 0.679, 0.183], [0.321, 0.821, 0.817], [0.500, 0.500, 0.500], [0.679, 0.179, 0.183], [0.821, 0.321, 0.817], [0.328, 0.328, 0.793], [0.672, 0.672, 0.207]],
  "energy_ev_per_fu": -43.4,
  "formation_energy_mev_per_atom": -11
}

(4)
{
  "formula": "ZnCu4Ir",
  "functional": "PBE",
  "state": "optimized geometry",
  "cell": [[9.018, 0.000, 0.000], [0.000, 4.324, 0.000], [0.000, 0.000, 7.876]],
  "species": ["Zn", "Zn", "Zn", "Zn", "Cu", "Cu", "Cu", "Cu", "Cu", "Cu", "Cu", "Cu", "Cu", "Cu", "Cu", "Cu", "Cu", "Cu", "Cu", "Cu", "Ir", "Ir", "Ir", "Ir"],
  "fractional_positions": [[0.205, 0.250, 0.085], [0.295, 0.750, 0.585], [0.705, 0.250, 0.415], [0.795, 0.750, 0.915], [0.040, 0.750, 0.087], [0.040, 0.750, 0.757], [0.210, 0.250, 0.754], [0.214, 0.250, 0.416], [0.286, 0.750, 0.916], [0.290, 0.750, 0.254], [0.460, 0.250, 0.257], [0.460, 0.250, 0.587], [0.540, 0.750, 0.413], [0.540, 0.750, 0.743], [0.710, 0.250, 0.746], [0.714, 0.250, 0.084], [0.786, 0.750, 0.584], [0.790, 0.750, 0.246], [0.960, 0.250, 0.243], [0.960, 0.250, 0.913], [0.041, 0.750, 0.423], [0.459, 0.250, 0.923], [0.541, 0.750, 0.077], [0.959, 0.250, 0.577]],
  "energy_ev_per_fu": -26.6,
  "formation_energy_mev_per_atom": -16
}

(5)
{
  "formula": "ZnCuIr",
  "functional": "PBE",
  "state": "optimized geometry",
  "cell": [[-1.468, 1.468, 4.665], [1.468, -1.468, 4.665], [1.468, 1.468, -4.665]],
  "species": ["Zn", "Cu", "Ir"],
  "fractional_positions": [[0.000, 0.000, 0.000], [0.343, 0.343, 0.000], [0.672, 0.672, 0.000]],
  "energy_ev_per_fu": -14.3,
  "formation_energy_mev_per_atom": -10
}

(6)
{
  "formula": "Zn2CuIr2",
  "functional": "PBE",
  "state": "optimized geometry",
  "cell": [[6.853, 0.000, 0.000], [0.000, 6.853, 0.000], [0.000, 0.000, 3.095]],
  "species": ["Zn", "Zn", "Zn", "Zn", "Cu", "Cu", "Ir", "Ir", "Ir", "Ir"],
  "fractional_positions": [[0.142, 0.358, 0.000], [0.358, 0.858, 0.000], [0.642, 0.142, 0.000], [0.858, 0.642, 0.000], [0.000, 0.000, 0.000], [0.500, 0.500, 0.000], [0.156, 0.656, 0.500], [0.344, 0.156, 0.500], [0.656, 0.844, 0.500], [0.844, 0.344, 0.500]],
  "energy_ev_per_fu": -23.5,
  "formation_energy_mev_per_atom": 177
}